! YTl2Ga2, optimized geometry, DFT GGA-PBE; values from VASP
&SYSTEM
  ibrav = 0, nat = 5, ntyp = 3
/
ATOMIC_SPECIES
Y 88.91 Y.upf
Tl 204.38 Tl.upf
Ga 69.72 Ga.upf
CELL_PARAMETERS angstrom
-1.490 1.964 -3.663
-2.881 -3.293 -0.594
-6.620 2.577 1.414
ATOMIC_POSITIONS angstrom
Y 0.000 0.000 0.000
Tl -5.148 1.938 -2.189
Tl -5.843 -0.690 -0.654
Ga -3.011 -0.061 -1.469
Ga -7.980 1.309 -1.374
! **Distance to the lowest polymorph of the same formula**: 68.4 meV per atom
! **Formation energy**: -0.217 eV per formula unit

=====

! BaTc2Pt, optimized geometry, DFT GGA-PBE; values from VASP
&SYSTEM
  ibrav = 0, nat = 4, ntyp = 3
/
ATOMIC_SPECIES
Ba 137.33 Ba.upf
Pt 195.08 Pt.upf
Tc 98.00 Tc.upf
CELL_PARAMETERS angstrom
2.980 0.000 0.000
0.000 5.135 0.000
0.000 0.000 5.217
ATOMIC_POSITIONS angstrom
Ba 1.490 0.000 2.609
Pt 0.000 2.568 2.609
Tc 0.000 0.000 0.000
Tc 1.490 2.568 0.000
! **Distance to the lowest polymorph of the same formula**: 754.0 meV per atom
! **Formation energy**: 3.795 eV per formula unit

=====

! Ca2AlSi, optimized geometry, DFT GGA-PBE; values from VASP
&SYSTEM
  ibrav = 0, nat = 4, ntyp = 3
/
ATOMIC_SPECIES
Ca 40.08 Ca.upf
Si 28.09 Si.upf
Al 26.98 Al.upf
CELL_PARAMETERS angstrom
4.130 0.000 0.000
0.000 4.498 0.004
0.000 2.238 5.605
ATOMIC_POSITIONS angstrom
Ca 0.000 6.459 5.133
Ca 2.065 1.962 1.941
Si 0.000 4.213 2.730
Al 2.065 4.207 4.220
! **Formation energy from raw total energies**: -0.413 eV per atom